Record 1
Here is a relaxed structure of Ho2HI3 from the Alexandria database. Energies are from PBE.

Summary:
Density of states at the Fermi level (states/eV per cell): 5.646
VASP energy (eV/atom): -3.877

The structure in CIF format:
```
data_Ho2HI3
_chemical_formula_sum 'Ho4 H2 I6'
_cell_length_a 3.971
_cell_length_b 9.925
_cell_length_c 10.706
_cell_angle_alpha 71.63
_cell_angle_beta 79.31
_cell_angle_gamma 78.46
_symmetry_space_group_name_H-M 'P 1'
_symmetry_Int_Tables_number 1
_symmetry_space_group_name_Hall 'P 1'
loop_
_atom_site_label
_atom_site_type_symbol
_atom_site_fract_x
_atom_site_fract_y
_atom_site_fract_z
_atom_site_occupancy
Ho1 Ho 0.868 0.481 0.783 1
Ho2 Ho 0.433 0.669 0.465 1
Ho3 Ho 0.132 0.519 0.217 1
Ho4 Ho 0.567 0.331 0.535 1
I1 I 0.789 0.802 0.621 1
I2 I 0.211 0.198 0.379 1
I3 I 0.333 0.328 0.006 1
I4 I 0.667 0.672 0.994 1
I5 I 0.964 0.826 0.246 1
I6 I 0.036 0.174 0.754 1
H1 H 0.575 0.510 0.339 1
H2 H 0.425 0.490 0.661 1
```

---

Record 2
Here is a relaxed structure of TlTe4Br from the Alexandria database. Energies are from PBE.

Summary:
Density of states at the Fermi level (states/eV per cell): 9.926
Uncorrected formation energy (kJ per mole of atoms): 5
VASP energy (eV/atom): -2.712

The structure in CIF format:
```
data_TlTe4Br
_chemical_formula_sum 'Tl1 Te4 Br1'
_cell_length_a 6.454
_cell_length_b 6.454
_cell_length_c 6.454
_cell_angle_alpha 60.00
_cell_angle_beta 60.00
_cell_angle_gamma 60.00
_symmetry_space_group_name_H-M 'P 1'
_symmetry_Int_Tables_number 1
_symmetry_space_group_name_Hall 'P 1'
loop_
_atom_site_label
_atom_site_type_symbol
_atom_site_fract_x
_atom_site_fract_y
_atom_site_fract_z
_atom_site_occupancy
Br1 Br 0.000 0.000 0.000 1
Te1 Te 0.374 0.374 0.878 1
Te2 Te 0.374 0.878 0.374 1
Te3 Te 0.878 0.374 0.374 1
Te4 Te 0.374 0.374 0.374 1
Tl1 Tl 0.750 0.750 0.750 1
```

---

Record 3
Here is a relaxed structure of Ce6Tl2Hg from the Alexandria database. Energies are from PBE.

Summary:
ΔE to the lowest computed polymorph (eV/atom): 0.0000
Density of states at the Fermi level (states/eV per cell): 26.052
VASP energy (eV/atom): -4.624
Formation enthalpy at 0 K (eV per atom): -0.109

The structure in CIF format:
```
data_Ce6Tl2Hg
_chemical_formula_sum 'Ce6 Tl2 Hg1'
_cell_length_a 3.140
_cell_length_b 9.165
_cell_length_c 9.165
_cell_angle_alpha 120.00
_cell_angle_beta 90.00
_cell_angle_gamma 90.00
_symmetry_space_group_name_H-M 'P 1'
_symmetry_Int_Tables_number 1
_symmetry_space_group_name_Hall 'P 1'
loop_
_atom_site_label
_atom_site_type_symbol
_atom_site_fract_x
_atom_site_fract_y
_atom_site_fract_z
_atom_site_occupancy
Tl1 Tl 0.000 0.333 0.667 1
Tl2 Tl 0.000 0.667 0.333 1
Ce1 Ce 0.500 0.324 0.324 1
Ce2 Ce 0.500 0.676 0.676 1
Ce3 Ce 0.500 0.000 0.324 1
Ce4 Ce 0.500 0.676 0.000 1
Ce5 Ce 0.500 0.000 0.676 1
Ce6 Ce 0.500 0.324 0.000 1
Hg1 Hg 0.000 0.000 0.000 1
```

---

Record 4
Here is a relaxed structure of Y5Co2Ag2 from the Alexandria database. Energies are from PBE.

Summary:
Density of states at the Fermi level (states/eV per cell): 16.785
VASP energy (eV/atom): -6.021
Formation enthalpy at 0 K (eV per atom): -0.217

The structure in CIF format:
```
data_Y5Co2Ag2
_chemical_formula_sum 'Y10 Co4 Ag4'
_cell_length_a 7.211
_cell_length_b 7.297
_cell_length_c 8.826
_cell_angle_alpha 90.00
_cell_angle_beta 65.89
_cell_angle_gamma 90.00
_symmetry_space_group_name_H-M 'P 1'
_symmetry_Int_Tables_number 1
_symmetry_space_group_name_Hall 'P 1'
loop_
_atom_site_label
_atom_site_type_symbol
_atom_site_fract_x
_atom_site_fract_y
_atom_site_fract_z
_atom_site_occupancy
Y1 Y 0.693 0.317 0.251 1
Y2 Y 0.556 0.817 0.251 1
Y3 Y 0.056 0.683 0.251 1
Y4 Y 0.807 0.817 0.749 1
Y5 Y 0.307 0.683 0.749 1
Y6 Y 0.944 0.317 0.749 1
Y7 Y 0.500 0.500 0.000 1
Y8 Y 0.444 0.183 0.749 1
Y9 Y 0.193 0.183 0.251 1
Y10 Y 0.000 0.000 0.000 1
Ag1 Ag 0.220 0.000 0.560 1
Ag2 Ag 0.720 0.500 0.560 1
Ag3 Ag 0.780 0.000 0.440 1
Ag4 Ag 0.280 0.500 0.440 1
Co1 Co 0.608 0.111 0.000 1
Co2 Co 0.892 0.611 0.000 1
Co3 Co 0.392 0.889 0.000 1
Co4 Co 0.108 0.389 0.000 1
```

---

Record 5
Here is a relaxed structure of CaPmPr6Y2 from the Alexandria database. Energies are from PBE.

Summary:
Density of states at the Fermi level (states/eV per cell): 31.249
VASP energy (eV/atom): -4.707
Formation enthalpy at 0 K (eV per atom): 0.129

The structure in CIF format:
```
data_CaPmPr6Y2
_chemical_formula_sum 'Ca2 Pm2 Pr12 Y4'
_cell_length_a 9.891
_cell_length_b 9.105
_cell_length_c 9.105
_cell_angle_alpha 117.61
_cell_angle_beta 93.73
_cell_angle_gamma 93.73
_symmetry_space_group_name_H-M 'P 1'
_symmetry_Int_Tables_number 1
_symmetry_space_group_name_Hall 'P 1'
loop_
_atom_site_label
_atom_site_type_symbol
_atom_site_fract_x
_atom_site_fract_y
_atom_site_fract_z
_atom_site_occupancy
Ca1 Ca 0.250 0.404 0.596 1
Ca2 Ca 0.750 0.596 0.404 1
Pr1 Pr 0.944 0.892 0.235 1
Pr2 Pr 0.119 0.708 0.486 1
Pr3 Pr 0.322 0.978 0.435 1
Pr4 Pr 0.444 0.235 0.892 1
Pr5 Pr 0.822 0.435 0.978 1
Pr6 Pr 0.178 0.565 0.022 1
Pr7 Pr 0.556 0.765 0.108 1
Pr8 Pr 0.381 0.514 0.292 1
Pr9 Pr 0.619 0.486 0.708 1
Pr10 Pr 0.678 0.022 0.565 1
Pr11 Pr 0.056 0.108 0.765 1
Pr12 Pr 0.881 0.292 0.514 1
Y1 Y 0.048 0.295 0.201 1
Y2 Y 0.452 0.799 0.705 1
Y3 Y 0.548 0.201 0.295 1
Y4 Y 0.952 0.705 0.799 1
Pm1 Pm 0.250 0.966 0.034 1
Pm2 Pm 0.750 0.034 0.966 1
```

---

Record 6
Here is a relaxed structure of Ho2PaSn from the Alexandria database. Energies are from PBE.

Summary:
ΔE to the lowest computed polymorph (eV/atom): 0.2258
Density of states at the Fermi level (states/eV per cell): 7.338
VASP energy (eV/atom): -5.643
Formation enthalpy at 0 K (eV per atom): 0.020

The structure in CIF format:
```
data_Ho2PaSn
_chemical_formula_sum 'Ho2 Pa1 Sn1'
_cell_length_a 5.318
_cell_length_b 5.318
_cell_length_c 5.318
_cell_angle_alpha 60.00
_cell_angle_beta 60.00
_cell_angle_gamma 60.00
_symmetry_space_group_name_H-M 'P 1'
_symmetry_Int_Tables_number 1
_symmetry_space_group_name_Hall 'P 1'
loop_
_atom_site_label
_atom_site_type_symbol
_atom_site_fract_x
_atom_site_fract_y
_atom_site_fract_z
_atom_site_occupancy
Ho1 Ho 0.750 0.750 0.750 1
Ho2 Ho 0.250 0.250 0.250 1
Sn1 Sn 0.500 0.500 0.500 1
Pa1 Pa 0.000 0.000 0.000 1
```

---

Record 7
Here is a relaxed structure of Na4Pm3TlO8 from the Alexandria database. Energies are from PBE.

Summary:
Uncorrected formation energy (kJ per mole of atoms): -216
VASP energy (eV/atom): -6.082

The structure in CIF format:
```
data_Na4Pm3TlO8
_chemical_formula_sum 'Na4 Pm3 Tl1 O8'
_cell_length_a 7.024
_cell_length_b 6.963
_cell_length_c 7.025
_cell_angle_alpha 120.29
_cell_angle_beta 119.99
_cell_angle_gamma 90.00
_symmetry_space_group_name_H-M 'P 1'
_symmetry_Int_Tables_number 1
_symmetry_space_group_name_Hall 'P 1'
loop_
_atom_site_label
_atom_site_type_symbol
_atom_site_fract_x
_atom_site_fract_y
_atom_site_fract_z
_atom_site_occupancy
Na1 Na 0.000 0.000 0.500 1
Na2 Na 0.000 0.000 0.000 1
Na3 Na 0.500 0.000 0.000 1
Na4 Na 0.500 0.000 0.500 1
O1 O 0.741 0.724 0.982 1
O2 O 0.242 0.724 0.483 1
O3 O 0.737 0.712 0.475 1
O4 O 0.759 0.276 0.018 1
O5 O 0.758 0.276 0.517 1
O6 O 0.241 0.724 0.982 1
O7 O 0.263 0.288 0.525 1
O8 O 0.259 0.276 0.018 1
Pm1 Pm 0.000 0.500 0.500 1
Pm2 Pm 0.500 0.500 0.500 1
Pm3 Pm 0.500 0.500 0.000 1
Tl1 Tl 0.000 0.500 0.000 1
```

---

Record 8
Here is a relaxed structure of Sr2CuSbO6 from the Alexandria database. Energies are from PBE.

Summary:
ΔE to the lowest computed polymorph (eV/atom): 0.0782
Density of states at the Fermi level (states/eV per cell): 0.650
Uncorrected formation energy (kJ per mole of atoms): -165
VASP energy (eV/atom): -5.845

The structure in CIF format:
```
data_Sr2CuSbO6
_chemical_formula_sum 'Sr2 Cu1 Sb1 O6'
_cell_length_a 5.178
_cell_length_b 5.612
_cell_length_c 5.612
_cell_angle_alpha 120.00
_cell_angle_beta 90.00
_cell_angle_gamma 90.00
_symmetry_space_group_name_H-M 'P 1'
_symmetry_Int_Tables_number 1
_symmetry_space_group_name_Hall 'P 1'
loop_
_atom_site_label
_atom_site_type_symbol
_atom_site_fract_x
_atom_site_fract_y
_atom_site_fract_z
_atom_site_occupancy
Sb1 Sb 0.500 0.000 0.000 1
O1 O 0.250 0.840 0.680 1
O2 O 0.750 0.160 0.320 1
O3 O 0.750 0.680 0.840 1
O4 O 0.750 0.160 0.840 1
O5 O 0.250 0.840 0.160 1
O6 O 0.250 0.320 0.160 1
Sr1 Sr 0.823 0.667 0.333 1
Sr2 Sr 0.177 0.333 0.667 1
Cu1 Cu 0.000 0.000 0.000 1
```

---

Record 9
Here is a relaxed structure of Sm6Al2Tl from the Alexandria database. Energies are from PBE.

Summary:
ΔE to the lowest computed polymorph (eV/atom): 0.0000
Density of states at the Fermi level (states/eV per cell): 17.315
VASP energy (eV/atom): -4.489
Formation enthalpy at 0 K (eV per atom): -0.249

The structure in CIF format:
```
data_Sm6Al2Tl
_chemical_formula_sum 'Sm12 Al4 Tl2'
_cell_length_a 8.904
_cell_length_b 8.904
_cell_length_c 8.904
_cell_angle_alpha 105.14
_cell_angle_beta 112.04
_cell_angle_gamma 111.32
_symmetry_space_group_name_H-M 'P 1'
_symmetry_Int_Tables_number 1
_symmetry_space_group_name_Hall 'P 1'
loop_
_atom_site_label
_atom_site_type_symbol
_atom_site_fract_x
_atom_site_fract_y
_atom_site_fract_z
_atom_site_occupancy
Sm1 Sm 0.204 0.243 0.447 1
Sm2 Sm 0.711 0.389 0.678 1
Sm3 Sm 0.711 0.032 0.322 1
Sm4 Sm 0.460 0.276 0.184 1
Sm5 Sm 0.289 0.611 0.322 1
Sm6 Sm 0.908 0.724 0.184 1
Sm7 Sm 0.092 0.276 0.816 1
Sm8 Sm 0.204 0.757 0.960 1
Sm9 Sm 0.796 0.757 0.553 1
Sm10 Sm 0.796 0.243 0.040 1
Sm11 Sm 0.540 0.724 0.816 1
Sm12 Sm 0.289 0.968 0.678 1
Al1 Al 0.362 0.000 0.362 1
Al2 Al 0.500 0.379 0.879 1
Al3 Al 0.500 0.621 0.121 1
Al4 Al 0.638 0.000 0.638 1
Tl1 Tl 0.000 0.500 0.500 1
Tl2 Tl 0.000 0.000 0.000 1
```

---

Record 10
Here is a relaxed structure of K2LaRu from the Alexandria database. Energies are from PBE.

Summary:
ΔE to the lowest computed polymorph (eV/atom): 0.0304
Density of states at the Fermi level (states/eV per cell): 2.461
VASP energy (eV/atom): -3.844
Formation enthalpy at 0 K (eV per atom): 0.256

The structure in CIF format:
```
data_K2LaRu
_chemical_formula_sum 'K2 La1 Ru1'
_cell_length_a 10.945
_cell_length_b 10.945
_cell_length_c 4.364
_cell_angle_alpha 78.64
_cell_angle_beta 78.64
_cell_angle_gamma 18.76
_symmetry_space_group_name_H-M 'P 1'
_symmetry_Int_Tables_number 1
_symmetry_space_group_name_Hall 'P 1'
loop_
_atom_site_label
_atom_site_type_symbol
_atom_site_fract_x
_atom_site_fract_y
_atom_site_fract_z
_atom_site_occupancy
K1 K 0.904 0.904 0.098 1
K2 K 0.596 0.596 0.402 1
Ru1 Ru 0.250 0.250 0.250 1
La1 La 0.750 0.750 0.750 1
```

---

Record 11
Here is a relaxed structure of Er2AlCu2Ni5 from the Alexandria database. Energies are from PBE.

Summary:
Density of states at the Fermi level (states/eV per cell): 7.956
VASP energy (eV/atom): -5.347
Formation enthalpy at 0 K (eV per atom): -0.351

The structure in CIF format:
```
data_Er2AlCu2Ni5
_chemical_formula_sum 'Er4 Al2 Cu4 Ni10'
_cell_length_a 3.613
_cell_length_b 8.941
_cell_length_c 8.941
_cell_angle_alpha 90.00
_cell_angle_beta 90.00
_cell_angle_gamma 90.00
_symmetry_space_group_name_H-M 'P 1'
_symmetry_Int_Tables_number 1
_symmetry_space_group_name_Hall 'P 1'
loop_
_atom_site_label
_atom_site_type_symbol
_atom_site_fract_x
_atom_site_fract_y
_atom_site_fract_z
_atom_site_occupancy
Er1 Er 0.000 0.677 0.177 1
Er2 Er 0.000 0.323 0.823 1
Er3 Er 0.000 0.177 0.323 1
Er4 Er 0.000 0.823 0.677 1
Cu1 Cu 0.000 0.879 0.379 1
Cu2 Cu 0.000 0.121 0.621 1
Cu3 Cu 0.000 0.379 0.121 1
Cu4 Cu 0.000 0.621 0.879 1
Ni1 Ni 0.500 0.439 0.298 1
Ni2 Ni 0.500 0.061 0.798 1
Ni3 Ni 0.500 0.702 0.439 1
Ni4 Ni 0.500 0.500 0.000 1
Ni5 Ni 0.500 0.202 0.061 1
Ni6 Ni 0.500 0.939 0.202 1
Ni7 Ni 0.500 0.000 0.500 1
Ni8 Ni 0.500 0.561 0.702 1
Ni9 Ni 0.500 0.798 0.939 1
Ni10 Ni 0.500 0.298 0.561 1
Al1 Al 0.000 0.000 0.000 1
Al2 Al 0.000 0.500 0.500 1
```